First-principles (PBE with a Hubbard U) data for a relaxed structure of Na2ErNiF8, as listed in Alexandria via LeMat-Bulk.

Final energy   -4.928 eV/atom
Fermi-level density of states   0.00 states/eV per cell
Size of the total moment   3.19 μB/cell

a b c (Å): 5.0694 5.0949 6.6184
angles (deg): 90.00 90.00 91.56
Each line ends with the local moment (μB).
Sites, in units of the cell vectors:
Er (0.0000, 0.0000, 0.5000)  0.01
F (0.8234, 0.1791, 0.2274)  0.09
Na (0.5000, 0.5000, 0.2377)  0.00
F (0.2997, 0.2947, 0.5000)  0.04
F (0.2630, 0.2585, 0.0000)  0.18
F (0.1766, 0.8209, 0.7726)  0.09
F (0.8234, 0.1791, 0.7726)  0.09
Na (0.5000, 0.5000, 0.7623)  0.00
Ni (0.0000, 0.0000, 0.0000)  2.30
F (0.7003, 0.7053, 0.5000)  0.04
F (0.1766, 0.8209, 0.2274)  0.09
F (0.7370, 0.7415, 0.0000)  0.18